Here is crystalline Zr3Co5O12 at its relaxed geometry from Alexandria via LeMat-Bulk. Energies are from PBE with a Hubbard U.

Unit cell a=10.4145 b=10.4145 c=10.4145 alpha=109.47 beta=109.47 gamma=109.47
Closest atoms and distances in Å follow each position.
Element x y z (fractional)
Zr (0.1250, 0.2500, 0.3750)  8 O 2.26-2.29
Zr (0.1250, 0.3750, 0.7500)  8 O 2.26-2.29
Zr (0.2500, 0.3750, 0.1250)  8 O 2.26-2.29
Zr (0.2500, 0.8750, 0.6250)  8 O 2.26-2.29
Zr (0.3750, 0.1250, 0.2500)  8 O 2.26-2.29
Zr (0.3750, 0.7500, 0.1250)  8 O 2.26-2.29
Zr (0.6250, 0.2500, 0.8750)  8 O 2.26-2.29
Zr (0.6250, 0.8750, 0.7500)  8 O 2.26-2.29
Zr (0.7500, 0.1250, 0.3750)  8 O 2.26-2.29
Zr (0.7500, 0.6250, 0.8750)  8 O 2.26-2.29
Zr (0.8750, 0.6250, 0.2500)  8 O 2.26-2.29
Zr (0.8750, 0.7500, 0.6250)  8 O 2.26-2.29
Co (0.0000, 0.0000, 0.0000)  6 O 1.95
Co (0.0000, 0.0000, 0.5000)  6 O 1.95
Co (0.0000, 0.5000, 0.0000)  6 O 1.95
Co (0.0000, 0.5000, 0.5000)  6 O 1.95
Co (0.1250, 0.7500, 0.8750)  4 O 1.91
Co (0.1250, 0.8750, 0.2500)  4 O 1.91
Co (0.2500, 0.1250, 0.8750)  4 O 1.91
Co (0.2500, 0.6250, 0.3750)  4 O 1.91
Co (0.3750, 0.2500, 0.6250)  4 O 1.91
Co (0.3750, 0.6250, 0.7500)  4 O 1.91
Co (0.5000, 0.0000, 0.0000)  6 O 1.95
Co (0.5000, 0.0000, 0.5000)  6 O 1.95
Co (0.5000, 0.5000, 0.0000)  6 O 1.95
Co (0.5000, 0.5000, 0.5000)  6 O 1.95
Co (0.6250, 0.3750, 0.2500)  4 O 1.91
Co (0.6250, 0.7500, 0.3750)  4 O 1.91
Co (0.7500, 0.3750, 0.6250)  4 O 1.91
Co (0.7500, 0.8750, 0.1250)  4 O 1.91
Co (0.8750, 0.1250, 0.7500)  4 O 1.91
Co (0.8750, 0.2500, 0.1250)  4 O 1.91
O (0.0424, 0.2109, 0.1285)  2 Co 1.91-1.95
O (0.0424, 0.3315, 0.9139)  2 Co 1.91-1.95
O (0.0824, 0.7109, 0.6685)  2 Co 1.91-1.95
O (0.0824, 0.8715, 0.4139)  2 Co 1.91-1.95
O (0.0861, 0.6285, 0.4176)  2 Co 1.91-1.95
O (0.0861, 0.9576, 0.6685)  2 Co 1.91-1.95
O (0.1285, 0.0424, 0.2109)  2 Co 1.91-1.95
O (0.1285, 0.5861, 0.9176)  2 Co 1.91-1.95
O (0.1685, 0.2109, 0.5824)  2 Co 1.91-1.95
O (0.1685, 0.4576, 0.5861)  2 Co 1.91-1.95
O (0.2109, 0.1285, 0.0424)  2 Co 1.91-1.95
O (0.2109, 0.5824, 0.1685)  2 Co 1.91-1.95
O (0.2891, 0.3315, 0.9176)  2 Co 1.91-1.95
O (0.2891, 0.4576, 0.3715)  2 Co 1.91-1.95
O (0.3315, 0.9139, 0.0424)  2 Co 1.91-1.95
O (0.3315, 0.9176, 0.2891)  2 Co 1.91-1.95
O (0.3715, 0.2891, 0.4576)  2 Co 1.91-1.95
O (0.3715, 0.5824, 0.9139)  2 Co 1.91-1.95
O (0.4139, 0.0824, 0.8715)  2 Co 1.91-1.95
O (0.4139, 0.8315, 0.5424)  2 Co 1.91-1.95
O (0.4176, 0.0861, 0.6285)  2 Co 1.91-1.95
O (0.4176, 0.8315, 0.7891)  2 Co 1.91-1.95
O (0.4576, 0.3715, 0.2891)  2 Co 1.91-1.95
O (0.4576, 0.5861, 0.1685)  2 Co 1.91-1.95
O (0.5424, 0.4139, 0.8315)  2 Co 1.91-1.95
O (0.5424, 0.6285, 0.7109)  2 Co 1.91-1.95
O (0.5824, 0.1685, 0.2109)  2 Co 1.91-1.95
O (0.5824, 0.9139, 0.3715)  2 Co 1.91-1.95
O (0.5861, 0.1685, 0.4576)  2 Co 1.91-1.95
O (0.5861, 0.9176, 0.1285)  2 Co 1.91-1.95
O (0.6285, 0.4176, 0.0861)  2 Co 1.91-1.95
O (0.6285, 0.7109, 0.5424)  2 Co 1.91-1.95
O (0.6685, 0.0824, 0.7109)  2 Co 1.91-1.95
O (0.6685, 0.0861, 0.9576)  2 Co 1.91-1.95
O (0.7109, 0.5424, 0.6285)  2 Co 1.91-1.95
O (0.7109, 0.6685, 0.0824)  2 Co 1.91-1.95
O (0.7891, 0.4176, 0.8315)  2 Co 1.91-1.95
O (0.7891, 0.8715, 0.9576)  2 Co 1.91-1.95
O (0.8315, 0.5424, 0.4139)  2 Co 1.91-1.95
O (0.8315, 0.7891, 0.4176)  2 Co 1.91-1.95
O (0.8715, 0.4139, 0.0824)  2 Co 1.91-1.95
O (0.8715, 0.9576, 0.7891)  2 Co 1.91-1.95
O (0.9139, 0.0424, 0.3315)  2 Co 1.91-1.95
O (0.9139, 0.3715, 0.5824)  2 Co 1.91-1.95
O (0.9176, 0.1285, 0.5861)  2 Co 1.91-1.95
O (0.9176, 0.2891, 0.3315)  2 Co 1.91-1.95
O (0.9576, 0.6685, 0.0861)  2 Co 1.91-1.95
O (0.9576, 0.7891, 0.8715)  2 Co 1.91-1.95

Output
Total energy   -7.469 eV/atom
V   869.5 Å³ per cell
SG   Ia-3d, No. 230